No. 1
# BaZrCo2N (PBE, relaxed)
# Volume ... 83 Å³/f.u.
# ΔE_f (raw) ... 0.7698 eV/atom
# Crystal system ... tetragonal
data_BaZrCo2N
_cell_length_a 4.005
_cell_length_b 4.005
_cell_length_c 5.194
_cell_angle_alpha 90.00
_cell_angle_beta 90.00
_cell_angle_gamma 90.00
_symmetry_space_group_name_H-M 'P 4/m m m'
_symmetry_Int_Tables_number 123
_symmetry_space_group_name_Hall '-P 4 2'
loop_
_atom_site_label
_atom_site_type_symbol
_atom_site_fract_x
_atom_site_fract_y
_atom_site_fract_z
_atom_site_occupancy
Ba1 Ba 0.000 0.000 0.000 1
Zr1 Zr 0.500 0.500 0.000 1
Co1 Co 0.000 0.500 0.500 1
N1 N 0.000 0.000 0.500 1

***

No. 2
# BaNaCo2 (PBE, relaxed)
# Volume ... 98 Å³/f.u.
# ΔE_f ... 1006 meV per atom
# Crystal system ... cubic
data_BaNaCo2
_cell_length_a 7.307
_cell_length_b 7.307
_cell_length_c 7.307
_cell_angle_alpha 90.00
_cell_angle_beta 90.00
_cell_angle_gamma 90.00
_symmetry_space_group_name_H-M 'F m -3 m'
_symmetry_Int_Tables_number 225
_symmetry_space_group_name_Hall '-F 4 2 3'
loop_
_atom_site_label
_atom_site_type_symbol
_atom_site_fract_x
_atom_site_fract_y
_atom_site_fract_z
_atom_site_occupancy
Ba1 Ba 0.000 0.000 0.000 1
Na1 Na 0.000 0.000 0.500 1
Co1 Co 0.250 0.250 0.250 1

***

No. 3
# Ba2NaCo (PBE, relaxed)
# Volume ... 133 Å³/f.u.
# ΔE_f ... 470 meV per atom
# Crystal system ... cubic
data_Ba2NaCo
_cell_length_a 8.108
_cell_length_b 8.108
_cell_length_c 8.108
_cell_angle_alpha 90.00
_cell_angle_beta 90.00
_cell_angle_gamma 90.00
_symmetry_space_group_name_H-M 'F m -3 m'
_symmetry_Int_Tables_number 225
_symmetry_space_group_name_Hall '-F 4 2 3'
loop_
_atom_site_label
_atom_site_type_symbol
_atom_site_fract_x
_atom_site_fract_y
_atom_site_fract_z
_atom_site_occupancy
Ba1 Ba 0.250 0.250 0.250 1
Na1 Na 0.000 0.000 0.000 1
Co1 Co 0.000 0.000 0.500 1

***

We obtain ρ values of 7.2; 4.7; 4.4 g cm⁻³ for the records listed above, in that order.
We obtain D(E_F) values of 6.975; 61.641; 12.921 states/eV per cell for the records listed above, in that order.